! NaNi2Pd2, relaxed, DFT PBE-GGA; values from VASP
&SYSTEM
  ibrav = 0, nat = 5, ntyp = 3
/
ATOMIC_SPECIES
Ni 58.69 Ni.upf
Pd 106.42 Pd.upf
Na 22.99 Na.upf
CELL_PARAMETERS angstrom
4.105 0.000 0.000
0.000 4.105 0.000
2.052 2.052 5.030
ATOMIC_POSITIONS crystal
Ni 0.609 0.609 0.782
Ni 0.391 0.391 0.218
Pd 0.250 0.750 0.500
Pd 0.750 0.250 0.500
Na 0.000 0.000 0.000
! Theoretical density   6.9 g/cm³
! Final energy   -21.95 eV for the cell shown
! DFT formation energy   0.263 eV/atom
! Energy relative to the lowest polymorph listed for this composition   200 meV per atom